[1]
Entry from the Alexandria database: an optimized crystal structure of TbU2PdS6 (GGA-PBE).

Uncorrected energy: -66.60 eV for the cell shown
DOS(E_F): 1.42 states/eV/atom
Total moment: 3.75 μB/f.u.

Cell lengths 6.809, 5.927, 5.927 Å; angles 90.00, 90.00, 90.00 degrees
Site moments in Bohr magnetons follow the coordinates.
Element x y z (fractional)
S 0.169 0.000 0.000  -0.08
S 0.158 0.500 0.500  -0.04
S 0.759 0.760 0.760  -0.08
S 0.759 0.760 0.240  -0.08
S 0.759 0.240 0.240  -0.08
S 0.759 0.240 0.760  -0.08
Pd 0.518 0.000 0.000  -0.14
Tb 0.551 0.500 0.500  -0.02
U 0.007 0.500 0.000  2.10
U 0.007 0.000 0.500  2.10

=====

[2]
Entry from the Alexandria database: an optimized crystal structure of TcPdS3 (GGA-PBE).

DOS(E_F): 0.84 states/eV/atom
Energy relative to the lowest polymorph listed for this composition: 42.52 kJ/mol of atoms
Total moment: 3.77 μB/f.u.

Cell lengths 4.673, 4.673, 4.673 Å; angles 90.00, 90.00, 90.00 degrees
Site moments in Bohr magnetons follow the coordinates.
Element x y z (fractional)
S 0.000 0.000 0.500  -0.03
S 0.500 0.000 0.000  -0.14
S 0.000 0.500 0.000  -0.13
Tc 0.500 0.500 0.500  3.74
Pd 0.000 0.000 0.000  -0.04

=====

[3]
Entry from the Alexandria database: an optimized crystal structure of TcPdS (GGA-PBE).

Uncorrected energy: -39.33 eV for the cell shown
DOS(E_F): 0.61 states/eV/atom
Total moment: 0.00 μB/f.u.

Cell lengths 8.499, 2.979, 21.243 Å; angles 116.55, 168.55, 68.18 degrees
Element x y z (fractional)
Pd 0.589 0.995 0.275
Pd 0.411 0.005 0.725
Tc 0.225 0.369 0.796
Tc 0.775 0.631 0.204
S 0.815 0.685 0.751
S 0.185 0.315 0.249

=====

[4]
Entry from the Alexandria database: an optimized crystal structure of TcPdS3 (GGA-PBE).

DOS(E_F): 1.22 states/eV/atom
Energy relative to the lowest polymorph listed for this composition: 0.00 kJ/mol of atoms
Total moment: 0.00 μB/f.u.

Cell lengths 4.611, 4.611, 4.611 Å; angles 90.00, 90.00, 90.00 degrees
Element x y z (fractional)
S 0.500 0.000 0.000
S 0.000 0.000 0.500
S 0.000 0.500 0.000
Pd 0.500 0.500 0.500
Tc 0.000 0.000 0.000

=====

[5]
Entry from the Alexandria database: an optimized crystal structure of TcPd2S (GGA-PBE).

DOS(E_F): 1.41 states/eV/atom
Energy relative to the lowest polymorph listed for this composition: 28.63 kJ/mol of atoms
Total moment: 2.28 μB/f.u.

Cell lengths 4.467, 4.467, 4.467 Å; angles 60.00, 60.00, 60.00 degrees
Site moments in Bohr magnetons follow the coordinates.
Element x y z (fractional)
Pd 0.250 0.250 0.250  0.07
Pd 0.750 0.750 0.750  0.07
Tc 0.500 0.500 0.500  2.00
S 0.000 0.000 0.000  -0.03

=====

[6]
Entry from the Alexandria database: an optimized crystal structure of TcPd2S (GGA-PBE).

DOS(E_F): 0.63 states/eV/atom
Energy relative to the lowest polymorph listed for this composition: 0.00 kJ/mol of atoms
Total moment: 1.32 μB/f.u.

Cell lengths 7.110, 7.110, 5.605 Å; angles 50.63, 50.63, 90.00 degrees
Site moments in Bohr magnetons follow the coordinates.
Element x y z (fractional)
Tc 0.000 0.000 0.000  1.25
Tc 0.750 0.250 0.500  1.25
Pd 0.583 0.125 0.250  0.00
Pd 0.375 0.417 0.750  0.01
Pd 0.167 0.625 0.250  0.01
Pd 0.875 0.833 0.750  0.02
S 0.500 0.500 0.000  -0.04
S 0.250 0.750 0.500  -0.04